(1)
Compound: Ho3InCu
Source: Alexandria via LeMat-Bulk
Functional: PBE
Structure: relaxed

For the energy, the calculation gives -84.27 eV per cell.

The space group is Amm2 (No. 38) and the conventional cell measures 3.718, 9.932 and 15.184 Å, with angles of 90.00, 90.00 and 90.00 degrees. The distinct sites, in fractional coordinates, are Ho at (0.000, 0.000, 0.000), Ho at (0.000, 0.000, 0.352), Ho at (0.500, 0.201, 0.559), Ho at (0.500, 0.201, 0.792), In at (0.000, 0.000, 0.675), In at (0.500, 0.000, 0.176) and Cu at (0.000, 0.250, 0.425).

(2)
Compound: HoInCu3
Source: Alexandria via LeMat-Bulk
Functional: PBE
Structure: relaxed

For the energy, the calculation gives -81.34 eV per cell.

The space group is Cmcm (No. 63) and the conventional cell measures 3.580, 24.637 and 4.150 Å, with angles of 90.00, 90.00 and 90.00 degrees. The distinct sites, in fractional coordinates, are Ho at (0.000, 0.076, 0.250), In at (0.000, 0.208, 0.750), Cu at (0.000, 0.320, 0.750), Cu at (0.000, 0.376, 0.250) and Cu at (0.000, 0.474, 0.250).

(3)
Compound: HoIn6Cu6
Source: Alexandria via LeMat-Bulk
Functional: PBE
Structure: relaxed

For the energy, the calculation gives -94.62 eV per cell.

The space group is Immm (No. 71) and the conventional cell measures 5.491, 9.207 and 9.246 Å, with angles of 90.00, 90.00 and 90.00 degrees. The distinct sites, in fractional coordinates, are Ho at (0.000, 0.000, 0.000), In at (0.000, 0.000, 0.341), In at (0.000, 0.337, 0.000), In at (0.000, 0.500, 0.319), Cu at (0.000, 0.263, 0.500) and Cu at (0.250, 0.250, 0.250).

(4)
Compound: HoIn2Cu9
Source: Alexandria via LeMat-Bulk
Functional: PBE
Structure: relaxed

For the energy, the calculation gives -145.63 eV per cell.

The space group is R-3m (No. 166, hexagonal axes) and the conventional cell measures 5.0526, 5.0526 and 24.3496 Å, with angles of 90.00, 90.00 and 120.00 degrees. The distinct sites, in fractional coordinates, are Ho at (0.0000, 0.0000, 0.0000), In at (0.0000, 0.0000, 0.1403), Cu at (0.0000, 0.0000, 0.3335), Cu at (0.0000, 0.0000, 0.5000) and Cu at (0.0027, 0.5014, 0.9164).

(5)
Compound: Ho2InCu3
Source: Alexandria via LeMat-Bulk
Functional: PBE
Structure: relaxed

For the energy, the calculation gives -205.50 eV per cell.

The space group is Fmmm (No. 69) and the conventional cell measures 6.954, 8.893 and 15.534 Å, with angles of 90.00, 90.00 and 90.00 degrees. The distinct sites, in fractional coordinates, are Ho at (0.239, 0.000, 0.000), Ho at (0.250, 0.250, 0.250), In at (0.000, 0.000, 0.335), Cu at (0.000, 0.000, 0.163) and Cu at (0.000, 0.243, 0.080).

(6)
Compound: Ho12InCu6
Source: Alexandria via LeMat-Bulk
Functional: PBE
Structure: relaxed

For the energy, the calculation gives -172.72 eV per cell.

The space group is Im-3 (No. 204) and the conventional cell measures 9.810, 9.810 and 9.810 Å, with angles of 90.00, 90.00 and 90.00 degrees. The distinct sites, in fractional coordinates, are Ho at (0.000, 0.189, 0.297), In at (0.000, 0.000, 0.000) and Cu at (0.000, 0.376, 0.500).

(7)
Compound: LaHoInCu
Source: Alexandria via LeMat-Bulk
Functional: PBE
Structure: relaxed

For the energy, the calculation gives -69.71 eV per cell.

The space group is F-43m (No. 216) and the conventional cell measures 7.493, 7.493 and 7.493 Å, with angles of 90.00, 90.00 and 90.00 degrees. The distinct sites, in fractional coordinates, are La at (0.000, 0.000, 0.000), Ho at (0.000, 0.000, 0.500), In at (0.250, 0.250, 0.750) and Cu at (0.250, 0.250, 0.250).

(8)
Compound: LiHoInCu
Source: Alexandria via LeMat-Bulk
Functional: PBE
Structure: relaxed

For the energy, the calculation gives -59.06 eV per cell.

The space group is F-43m (No. 216) and the conventional cell measures 6.666, 6.666 and 6.666 Å, with angles of 90.00, 90.00 and 90.00 degrees. The distinct sites, in fractional coordinates, are Li at (0.000, 0.000, 0.000), Ho at (0.250, 0.250, 0.250), In at (0.250, 0.250, 0.750) and Cu at (0.000, 0.000, 0.500).

(9)
Compound: HoMgInCu
Source: Alexandria via LeMat-Bulk
Functional: PBE
Structure: relaxed

For the energy, the calculation gives -56.12 eV per cell.

The space group is F-43m (No. 216) and the conventional cell measures 6.972, 6.972 and 6.972 Å, with angles of 90.00, 90.00 and 90.00 degrees. The distinct sites, in fractional coordinates, are Ho at (0.000, 0.000, 0.000), Mg at (0.000, 0.000, 0.500), In at (0.250, 0.250, 0.750) and Cu at (0.250, 0.250, 0.250).

(10)
Compound: HoInCuNi
Source: Alexandria via LeMat-Bulk
Functional: PBE
Structure: relaxed

For the energy, the calculation gives -74.08 eV per cell.

The space group is F-43m (No. 216) and the conventional cell measures 6.564, 6.564 and 6.564 Å, with angles of 90.00, 90.00 and 90.00 degrees. The distinct sites, in fractional coordinates, are Ho at (0.000, 0.000, 0.000), In at (0.000, 0.000, 0.500), Cu at (0.250, 0.250, 0.250) and Ni at (0.250, 0.250, 0.750).

(11)
Compound: PmHoInCu
Source: Alexandria via LeMat-Bulk
Functional: PBE
Structure: relaxed

For the energy, the calculation gives -69.25 eV per cell.

The space group is F-43m (No. 216) and the conventional cell measures 7.383, 7.383 and 7.383 Å, with angles of 90.00, 90.00 and 90.00 degrees. The distinct sites, in fractional coordinates, are Pm at (0.000, 0.000, 0.000), Ho at (0.000, 0.000, 0.500), In at (0.250, 0.250, 0.750) and Cu at (0.250, 0.250, 0.250).

(12)
Compound: PrHoInCu
Source: Alexandria via LeMat-Bulk
Functional: PBE
Structure: relaxed

For the energy, the calculation gives -69.09 eV per cell.

The space group is F-43m (No. 216) and the conventional cell measures 7.440, 7.440 and 7.440 Å, with angles of 90.00, 90.00 and 90.00 degrees. The distinct sites, in fractional coordinates, are Pr at (0.000, 0.000, 0.000), Ho at (0.000, 0.000, 0.500), In at (0.250, 0.250, 0.250) and Cu at (0.250, 0.250, 0.750).

ΔH_f (0 K) readings, ordered: -2.3; -3.4; -3.1; -3.1; -5.8; -5.0; -6.3; -8.3; -5.9; -7.7; -6.6; -6.2 kcal/mol of atoms
Magnetization readings, ordered: 0.00; 0.00; 0.00; 0.00; 0.00; 0.00; 0.02; 0.00; 0.00; 0.00; 0.00; 0.01 μB/cell